Entry 1:
Material: Na2ZrPCO10
Method: DFT, PBE
State: optimized geometry

## Properties
* total moment: 3.018 μB per formula unit
* E_tot: -6.7215 eV per atom
* volume: 854.62 Å³/cell

Cell lengths 12.6648, 6.6955, 11.5791 Å; angles 90.00, 119.50, 90.00 degrees
With the nearest neighbours (Å) after each atom.
Space group C2/m (No. 12)
Inequivalent atoms, fractional coordinates:
Na 0.0356 0.2485 0.3146 [8 per cell]  4 O 2.31-2.42
Zr 0.1784 0.0000 0.1317 [4 per cell]  7 O 2.10-2.24
P 0.2458 0.0000 0.8693 [4 per cell]  4 O 1.52-1.58
C 0.1995 0.5000 0.6021 [4 per cell]  3 O 1.26-1.34
O 0.0113 0.0000 0.9408 [4 per cell]  1 O 1.53
O 0.0400 0.5000 0.8418 [4 per cell]  1 O 2.20, 2 Na 2.31
O 0.0528 0.0000 0.5111 [4 per cell]  1 O 1.23
O 0.1105 0.0000 0.7716 [4 per cell]  1 P 1.52
O 0.1450 0.5000 0.4776 [4 per cell]  1 C 1.26
O 0.1468 0.5000 0.6758 [4 per cell]  1 C 1.32
O 0.1790 0.0000 0.3253 [4 per cell]  1 C 1.34
O 0.1897 0.3121 0.1446 [8 per cell]  1 P 1.55
O 0.2352 0.5000 0.9848 [4 per cell]  1 P 1.58

***

Entry 2:
Material: AlCuCl2
Method: DFT, PBE
State: optimized geometry

## Properties
* total moment: 0.000 μB per formula unit
* offset from the most stable computed form: 348 meV per atom
* volume: 361.51 Å³/cell

Cell lengths 7.0556, 7.0556, 7.2621 Å; angles 90.00, 90.00, 90.00 degrees
With the nearest neighbours (Å) after each atom.
Space group I-42d (No. 122)
Inequivalent atoms, fractional coordinates:
Al 0.0000 0.0000 0.0000 [4 per cell]  4 Cl 3.02
Cu 0.0000 0.0000 0.5000 [4 per cell]  4 Cl 2.35
Cl 0.1777 0.2500 0.6250 [8 per cell]  2 Cu 2.35

***

Entry 3:
Material: CoGeAs2Br
Method: DFT, PBE
State: optimized geometry

## Properties
* total moment: 0.000 μB per formula unit
* offset from the most stable computed form: 0 meV per atom
* volume: 107.52 Å³/cell

Cell lengths 4.4980, 4.4980, 5.3142 Å; angles 90.00, 90.00, 90.00 degrees
With the nearest neighbours (Å) after each atom.
Space group P4/mmm (No. 123)
Inequivalent atoms, fractional coordinates:
Co 0.0000 0.0000 0.0000 [1 per cell]  4 As 2.25
Ge 0.5000 0.5000 0.5000 [1 per cell]  4 Br 3.18, 8 As 3.48
As 0.0000 0.5000 0.0000 [2 per cell]  2 Co 2.25
Br 0.0000 0.0000 0.5000 [1 per cell]  2 Co 2.66

***

Entry 4:
Material: NbB3Pt
Method: DFT, PBE
State: optimized geometry

## Properties
* total moment: 0.000 μB per formula unit
* offset from the most stable computed form: 0 meV per atom
* volume: 66.51 Å³/cell
* DFT formation energy: 1244 meV/atom

Cell lengths 4.0516, 4.0516, 4.0516 Å; angles 90.00, 90.00, 90.00 degrees
With the nearest neighbours (Å) after each atom.
Space group Pm-3m (No. 221)
Inequivalent atoms, fractional coordinates:
Nb 0.0000 0.0000 0.0000 [1 per cell]  12 B 2.86
B 0.0000 0.5000 0.5000 [3 per cell]  2 Pt 2.03
Pt 0.5000 0.5000 0.5000 [1 per cell]  6 B 2.03

***

Entry 5:
Material: TlIrPbO6
Method: DFT, PBE
State: optimized geometry

## Properties
* total moment: 0.000 μB per formula unit
* E_tot: -5.6666 eV per atom
* volume: 250.41 Å³/cell

Cell lengths 5.6300, 5.6300, 9.1224 Å; angles 90.00, 90.00, 120.00 degrees
With the nearest neighbours (Å) after each atom.
Space group P-31c (No. 163)
Inequivalent atoms, fractional coordinates:
Tl 0.0000 0.0000 0.0000 [2 per cell]  6 O 2.38
Ir 0.3333 0.6667 0.2500 [2 per cell]  6 O 1.95
Pb 0.3333 0.6667 0.7500 [2 per cell]  6 O 2.26
O 0.0405 0.3844 0.1304 [12 per cell]  1 Ir 1.95

***

Entry 6:
Material: Ir2PbC
Method: DFT, PBE
State: optimized geometry

## Properties
* total moment: 0.001 μB per formula unit
* offset from the most stable computed form: 1183 meV per atom
* volume: 249.32 Å³/cell
* DFT formation energy: 1741 meV/atom

Cell lengths 6.2939, 6.2939, 6.2939 Å; angles 90.00, 90.00, 90.00 degrees
With the nearest neighbours (Å) after each atom.
Space group Fm-3m (No. 225)
Inequivalent atoms, fractional coordinates:
Ir 0.2500 0.2500 0.2500 [8 per cell]  4 Pb 2.73, 4 C 2.73
Pb 0.0000 0.0000 0.0000 [4 per cell]  8 Ir 2.73
C 0.0000 0.0000 0.5000 [4 per cell]  8 Ir 2.73

***

Entry 7:
Material: Tm4TlCu
Method: DFT, PBE
State: optimized geometry

## Properties
* total moment: 0.000 μB per formula unit
* offset from the most stable computed form: 190 meV per atom
* volume: 347.56 Å³/cell
* DFT formation energy: 8 meV/atom

Cell lengths 7.1764, 7.2582, 6.6965 Å; angles 90.00, 94.85, 90.00 degrees
With the nearest neighbours (Å) after each atom.
Space group P2_1/c (No. 14)
Inequivalent atoms, fractional coordinates:
Tm 0.1431 0.1673 0.1749 [4 per cell]  2 Cu 2.77-2.84
Tm 0.3244 0.6441 0.0981 [4 per cell]  1 Cu 2.59
Tl 0.5000 0.0000 0.0000 [2 per cell]  6 Tm 2.97-3.15
Cu 0.0000 0.0000 0.5000 [2 per cell]  6 Tm 2.59-2.84

***

Entry 8:
Material: LaWSe2Br
Method: DFT, PBE
State: optimized geometry

## Properties
* total moment: 3.997 μB per formula unit
* offset from the most stable computed form: 900 meV per atom
* volume: 187.87 Å³/cell

Cell lengths 5.7915, 5.7915, 5.6012 Å; angles 90.00, 90.00, 90.00 degrees
With the nearest neighbours (Å) after each atom.
Space group P4/mmm (No. 123)
Inequivalent atoms, fractional coordinates:
La 0.0000 0.0000 0.0000 [1 per cell]  2 Br 2.80, 4 Se 2.90
W 0.5000 0.5000 0.5000 [1 per cell]  8 Se 4.03, 4 Br 4.10
Se 0.0000 0.5000 0.0000 [2 per cell]  2 La 2.90
Br 0.0000 0.0000 0.5000 [1 per cell]  2 La 2.80

***

Entry 9:
Material: ZnCr2Rh
Method: DFT, PBE
State: optimized geometry

## Properties
* total moment: 0.052 μB per formula unit
* volume: 106.51 Å³/cell
* DFT formation energy: 33 meV/atom

Cell lengths 2.9360, 4.3585, 8.3233 Å; angles 90.00, 90.00, 90.00 degrees
With the nearest neighbours (Å) after each atom.
Space group Imm2 (No. 44)
Inequivalent atoms, fractional coordinates:
Zn 0.0000 0.0000 0.0000 [2 per cell]  8 Cr 2.63-2.92, 4 Rh 2.66-2.92, 2 Zn 2.94
Cr 0.0000 0.0000 0.4766 [2 per cell]  2 Cr 2.28
Cr 0.0000 0.5000 0.7666 [2 per cell]  2 Cr 2.28
Rh 0.0000 0.5000 0.2335 [2 per cell]  6 Cr 2.59-2.64, 2 Zn 2.66

***

Entry 10:
Material: ScHg2Os
Method: DFT, PBE
State: optimized geometry

## Properties
* total moment: 0.000 μB per formula unit
* offset from the most stable computed form: 63 meV per atom
* volume: 74.71 Å³/cell
* DFT formation energy: 152 meV/atom

Cell lengths 4.1238, 4.1238, 4.3934 Å; angles 90.00, 90.00, 90.00 degrees
With the nearest neighbours (Å) after each atom.
Space group P4/mmm (No. 123)
Inequivalent atoms, fractional coordinates:
Sc 0.0000 0.0000 0.0000 [1 per cell]  4 Os 2.92, 8 Hg 3.01
Hg 0.0000 0.5000 0.5000 [2 per cell]  4 Hg 2.92, 4 Os 3.01, 4 Sc 3.01
Os 0.5000 0.5000 0.0000 [1 per cell]  4 Sc 2.92, 8 Hg 3.01

***

Entry 11:
Material: LaPm2ScTl4
Method: DFT, PBE
State: optimized geometry

## Properties
* total moment: 0.000 μB per formula unit
* volume: 685.72 Å³/cell
* DFT formation energy: -338 meV/atom

Cell lengths 5.4230, 5.4230, 26.9236 Å; angles 90.00, 90.00, 120.00 degrees
With the nearest neighbours (Å) after each atom.
Space group R-3m (No. 166, hexagonal axes)
Inequivalent atoms, fractional coordinates:
La 0.0000 0.0000 0.0000 [3 per cell]  8 Tl 3.36-3.44
Pm 0.0000 0.0000 0.2475 [6 per cell]  8 Tl 3.22-3.54
Sc 0.0000 0.0000 0.5000 [3 per cell]  8 Tl 3.26-3.30
Tl 0.0000 0.0000 0.1278 [6 per cell]  4 Pm 3.22-3.33, 3 Sc 3.30, 1 La 3.44
Tl 0.0000 0.0000 0.3788 [6 per cell]  1 Sc 3.26, 4 Pm 3.31-3.54, 3 La 3.36

***

Entry 12:
Material: DyMgZn11
Method: DFT, PBE
State: optimized geometry

## Properties
* total moment: 0.000 μB per formula unit
* volume: 423.57 Å³/cell
* DFT formation energy: -160 meV/atom

Cell lengths 5.3769, 12.4987, 6.8401 Å; angles 90.00, 112.86, 90.00 degrees
With the nearest neighbours (Å) after each atom.
Space group C2/m (No. 12)
Inequivalent atoms, fractional coordinates:
Dy 0.0000 0.0000 0.0000 [2 per cell]  18 Zn 3.14-3.43, 2 Mg 3.42
Mg 0.0000 0.0000 0.5000 [2 per cell]  10 Zn 2.65-2.79
Zn 0.0000 0.5000 0.5000 [2 per cell]  8 Zn 2.62-2.75, 2 Mg 2.69
Zn 0.1020 0.3909 0.2127 [8 per cell]  8 Zn 2.58-2.89, 1 Mg 2.65
Zn 0.1842 0.1787 0.3502 [8 per cell]  7 Zn 2.60-2.89, 1 Mg 2.79
Zn 0.2500 0.2500 0.0000 [4 per cell]  10 Zn 2.58-2.76